Record 1
Compound: NdZn13
Source: the Alexandria database
Functional: GGA-PBE
Structure: relaxed

As for the formation energy: -0.165 eV per atom. The total magnetization is 0.000 μB/f.u.

The space group is Fm-3c (No. 226) and the conventional cell measures 12.176, 12.176 and 12.176 Å, with angles of 90.00, 90.00 and 90.00 degrees. The inequivalent atoms are Nd at (0.250, 0.250, 0.250), Zn at (0.000, 0.000, 0.000) and Zn at (0.000, 0.121, 0.180).

=====

Record 2
Compound: EuPuSbCl
Source: the Alexandria database
Functional: GGA-PBE
Structure: relaxed

The calculation puts the uncorrected formation energy at -4.26 eV/f.u. The total magnetization is 13.001 μB/f.u.

The space group is F-43m (No. 216) and the conventional cell measures 7.621, 7.621 and 7.621 Å, with angles of 90.00, 90.00 and 90.00 degrees. The inequivalent atoms are Eu at (0.000, 0.000, 0.000), Pu at (0.000, 0.000, 0.500), Sb at (0.250, 0.250, 0.250) and Cl at (0.250, 0.250, 0.750).

=====

Record 3
Compound: Y2IrAu
Source: the Alexandria database
Functional: GGA-PBE
Structure: relaxed

As for the formation energy: -0.622 eV per atom. The total magnetization is 0.000 μB/f.u.

The space group is P4mm (No. 99) and the conventional cell measures 4.039, 4.039 and 5.917 Å, with angles of 90.00, 90.00 and 90.00 degrees. The inequivalent atoms are Y at (0.000, 0.000, 0.000), Y at (0.500, 0.500, 0.399), Ir at (0.500, 0.500, 0.925) and Au at (0.000, 0.000, 0.514).

=====

Record 4
Compound: NaZr2Zn2
Source: the Alexandria database
Functional: GGA-PBE
Structure: relaxed

As for the formation energy: 0.059 eV per atom. The calculation puts the offset from the most stable computed form at 0 meV/atom. The total magnetization is 0.000 μB/f.u.

The space group is P4/mbm (No. 127) and the conventional cell measures 8.637, 8.637 and 2.835 Å, with angles of 90.00, 90.00 and 90.00 degrees. The inequivalent atoms are Na at (0.000, 0.000, 0.000), Zr at (0.126, 0.374, 0.000) and Zn at (0.169, 0.669, 0.500).

=====

Record 5
Compound: La6Pm2Er5
Source: the Alexandria database
Functional: GGA-PBE
Structure: relaxed

As for the formation energy: 0.113 eV per atom. The total magnetization is 0.000 μB/f.u.

The space group is Pbam (No. 55) and the conventional cell measures 11.970, 20.687 and 3.650 Å, with angles of 90.00, 90.00 and 90.00 degrees. The inequivalent atoms are La at (0.046, 0.079, 0.000), La at (0.074, 0.363, 0.000), La at (0.182, 0.625, 0.500), Pm at (0.165, 0.785, 0.000), Er at (0.000, 0.500, 0.500), Er at (0.095, 0.223, 0.500) and Er at (0.209, 0.943, 0.500).

=====

Record 6
Compound: PmAsS4
Source: the Alexandria database
Functional: GGA-PBE
Structure: relaxed

The calculation puts the uncorrected formation energy at -4.25 eV/f.u. The total magnetization is 0.314 μB/f.u.

The space group is C2/m (No. 12) and the conventional cell measures 16.584, 4.924 and 11.665 Å, with angles of 90.00, 126.15 and 90.00 degrees. The inequivalent atoms are Pm at (0.146, 0.000, 0.278), As at (0.141, 0.000, 0.610), S at (0.028, 0.000, 0.378), S at (0.053, 0.000, 0.981), S at (0.169, 0.500, 0.691) and S at (0.218, 0.500, 0.391).

=====

Record 7
Compound: IrRu2W
Source: the Alexandria database
Functional: GGA-PBE
Structure: relaxed

As for the formation energy: -0.046 eV per atom. The calculation puts the offset from the most stable computed form at 133 meV/atom. The total magnetization is 0.000 μB/f.u.

The space group is Cm (No. 8) and the conventional cell measures 9.112, 2.750 and 4.739 Å, with angles of 90.00, 100.40 and 90.00 degrees. The inequivalent atoms are Ir at (0.000, 0.000, 0.000), Ru at (0.000, 0.500, 0.506), Ru at (0.248, 0.000, 0.741) and W at (0.249, 0.500, 0.247).

=====

Record 8
Compound: NdPbC2O6
Source: the Alexandria database
Functional: GGA-PBE
Structure: relaxed

The calculation puts the uncorrected formation energy at -17.83 eV/f.u. The total magnetization is 0.000 μB/f.u.

The space group is C2/c (No. 15) and the conventional cell measures 9.965, 8.804 and 7.174 Å, with angles of 90.00, 114.88 and 90.00 degrees. The inequivalent atoms are Nd at (0.000, 0.091, 0.250), Pb at (0.000, 0.455, 0.750), C at (0.222, 0.141, 0.770), O at (0.090, 0.132, 0.614), O at (0.173, 0.285, 0.246) and O at (0.235, 0.066, 0.932).